# 1
## TbPmDy3Sc (PBE)

Data for a relaxed structure of TbPmDy3Sc.

Output
- ΔH_f (0 K) (meV/atom) = 37

a b c (Å): 4.9708 14.9134 9.9632
angles (deg): 90.00 90.00 90.00
Space group Cmcm (No. 63)
Symmetry-distinct sites (fractional):
Tb 0.0000 0.0000 0.0000
Pm 0.0000 0.4978 0.2500
Dy 0.0000 0.1696 0.2500
Dy 0.0000 0.3321 0.0004
Sc 0.0000 0.1681 0.7500

---

# 2
## Tb2Pm3Dy6Sc (PBE)

Data for a relaxed structure of Tb2Pm3Dy6Sc.

Output
- ΔH_f (0 K) (meV/atom) = 26

a b c (Å): 6.1528 10.6525 11.7581
angles (deg): 90.00 100.01 90.00
Space group C2/m (No. 12)
Symmetry-distinct sites (fractional):
Tb 0.0000 0.1665 0.0000
Pm 0.0000 0.0000 0.5000
Pm 0.0000 0.3335 0.5000
Dy 0.2467 0.3346 0.2450
Dy 0.2493 0.5000 0.7548
Sc 0.0000 0.5000 0.0000

---

# 3
## Tb4Pm2DySc (PBE)

Data for a relaxed structure of Tb4Pm2DySc.

Output
- ΔH_f (0 K) (meV/atom) = 30

a b c (Å): 5.0167 5.0180 10.0021
angles (deg): 90.00 90.01 90.00
Space group P2/m (No. 10)
Symmetry-distinct sites (fractional):
Tb 0.0013 0.0000 0.2545
Tb 0.4993 0.5000 0.7452
Pm 0.0000 0.5000 0.0000
Pm 0.5000 0.0000 0.5000
Dy 0.5000 0.0000 0.0000
Sc 0.0000 0.5000 0.5000

---

# 4
## Tb5PmDy2Sc (PBE)

Data for a relaxed structure of Tb5PmDy2Sc.

Output
- ΔH_f (0 K) (meV/atom) = 167

a b c (Å): 5.5757 19.7772 10.4016
angles (deg): 90.00 90.00 90.00
Space group Cmc2_1 (No. 36)
Symmetry-distinct sites (fractional):
Tb 0.0000 0.0183 0.0000
Tb 0.0000 0.1241 0.2804
Tb 0.0000 0.2017 0.9655
Tb 0.0000 0.2232 0.5820
Tb 0.0000 0.4816 0.2786
Pm 0.0000 0.0879 0.7154
Dy 0.0000 0.3860 0.9959
Dy 0.0000 0.3882 0.5742
Sc 0.0000 0.3043 0.2751

---

# 5
## Tb2Pm2DySc (PBE)

Data for a relaxed structure of Tb2Pm2DySc.

Output
- ΔH_f (0 K) (meV/atom) = 92

a b c (Å): 6.8823 5.5986 9.6959
angles (deg): 90.00 90.00 90.00
Space group Pmma (No. 51)
Symmetry-distinct sites (fractional):
Tb 0.2500 0.0000 0.1631
Tb 0.2500 0.5000 0.6689
Pm 0.0000 0.5000 0.0000
Pm 0.2500 0.0000 0.8138
Dy 0.2500 0.5000 0.3479
Sc 0.0000 0.0000 0.5000

---

# 6
## TbPm2Dy4Sc (PBE)

Data for a relaxed structure of TbPm2Dy4Sc.

Output
- ΔH_f (0 K) (meV/atom) = 31

a b c (Å): 5.0046 5.0046 9.9916
angles (deg): 90.00 90.00 90.00
Space group P4/mmm (No. 123)
Symmetry-distinct sites (fractional):
Tb 0.0000 0.0000 0.0000
Pm 0.0000 0.0000 0.5000
Pm 0.5000 0.5000 0.0000
Dy 0.0000 0.5000 0.2548
Sc 0.5000 0.5000 0.5000

---

# 7
## Tb3Pm6Dy2Sc (PBE)

Data for a relaxed structure of Tb3Pm6Dy2Sc.

Output
- ΔH_f (0 K) (meV/atom) = 23

a b c (Å): 6.2149 10.7627 11.7742
angles (deg): 90.00 100.11 90.00
Space group C2/m (No. 12)
Symmetry-distinct sites (fractional):
Tb 0.0000 0.0000 0.0000
Tb 0.0000 0.3334 0.0000
Pm 0.2472 0.3348 0.7468
Pm 0.2486 0.5000 0.2528
Dy 0.0000 0.1666 0.5000
Sc 0.0000 0.5000 0.5000

---

# 8
## Tb5PmDySc2 (PBE)

Data for a relaxed structure of Tb5PmDySc2.

Output
- ΔH_f (0 K) (meV/atom) = 167

a b c (Å): 5.6112 21.5189 9.3600
angles (deg): 90.00 90.00 90.00
Space group Cmc2_1 (No. 36)
Symmetry-distinct sites (fractional):
Tb 0.0000 0.0097 0.0000
Tb 0.0000 0.2657 0.3187
Tb 0.0000 0.3068 0.7040
Tb 0.0000 0.3918 0.0318
Tb 0.0000 0.4683 0.7338
Pm 0.0000 0.1846 0.0050
Dy 0.0000 0.4027 0.4044
Sc 0.0000 0.1134 0.3120
Sc 0.0000 0.1366 0.6866

---

# 9
## TbPmDy5Sc2 (PBE)

Data for a relaxed structure of TbPmDy5Sc2.

Output
- ΔH_f (0 K) (meV/atom) = 168

a b c (Å): 5.5960 21.4605 9.3373
angles (deg): 90.00 90.00 90.00
Space group Cmc2_1 (No. 36)
Symmetry-distinct sites (fractional):
Tb 0.0000 0.0971 0.0000
Pm 0.0000 0.3148 0.3990
Dy 0.0000 0.0316 0.6699
Dy 0.0000 0.1082 0.3725
Dy 0.0000 0.1927 0.6992
Dy 0.0000 0.2344 0.0844
Dy 0.0000 0.4909 0.4019
Sc 0.0000 0.3620 0.7189
Sc 0.0000 0.3867 0.0924

---

# 10
## TbPm2Dy5Sc (PBE)

Data for a relaxed structure of TbPm2Dy5Sc.

Output
- ΔH_f (0 K) (meV/atom) = 156

a b c (Å): 5.5572 19.9423 10.3920
angles (deg): 90.00 90.00 90.00
Space group Cmc2_1 (No. 36)
Symmetry-distinct sites (fractional):
Tb 0.0000 0.0911 0.0000
Pm 0.0000 0.3851 0.2770
Pm 0.0000 0.3872 0.8559
Dy 0.0000 0.0175 0.2826
Dy 0.0000 0.1252 0.5614
Dy 0.0000 0.2016 0.2450
Dy 0.0000 0.2245 0.8626
Dy 0.0000 0.4834 0.5586
Sc 0.0000 0.3044 0.5563

---

# 11
## Tb6PmDy3Sc2 (PBE)

Data for a relaxed structure of Tb6PmDy3Sc2.

Output
- ΔH_f (0 K) (meV/atom) = 35

a b c (Å): 6.0912 10.5424 11.6356
angles (deg): 90.00 100.00 90.00
Space group C2/m (No. 12)
Symmetry-distinct sites (fractional):
Tb 0.2461 0.0000 0.2461
Tb 0.2492 0.1681 0.7538
Pm 0.0000 0.5000 0.0000
Dy 0.0000 0.0000 0.5000
Dy 0.0000 0.3329 0.5000
Sc 0.0000 0.1668 0.0000

---

# 12
## TbPmDy2Sc4 (PBE)

Data for a relaxed structure of TbPmDy2Sc4.

Output
- ΔH_f (0 K) (meV/atom) = 435

a b c (Å): 13.0596 12.6899 6.5264
angles (deg): 90.00 119.98 90.00
Space group C2/c (No. 15)
Symmetry-distinct sites (fractional):
Tb 0.0000 0.0000 0.0000
Pm 0.2500 0.2500 0.0000
Dy 0.0000 0.5000 0.0000
Dy 0.2500 0.2500 0.5000
Sc 0.0000 0.2505 0.0004
Sc 0.2505 0.9996 0.0014

---

# 13
## Tb5Pm2DySc (PBE)

Data for a relaxed structure of Tb5Pm2DySc.

Output
- ΔH_f (0 K) (meV/atom) = 154

a b c (Å): 5.5597 20.0811 10.3909
angles (deg): 90.00 90.00 90.00
Space group Cmc2_1 (No. 36)
Symmetry-distinct sites (fractional):
Tb 0.0000 0.0160 0.0000
Tb 0.0000 0.2748 0.3055
Tb 0.0000 0.2983 0.6877
Tb 0.0000 0.3736 0.0041
Tb 0.0000 0.4833 0.7263
Pm 0.0000 0.1130 0.2978
Pm 0.0000 0.1151 0.7202
Dy 0.0000 0.4073 0.4437
Sc 0.0000 0.1951 0.9993

---

# 14
## TbPm2Dy2Sc (PBE)

Data for a relaxed structure of TbPm2Dy2Sc.

Output
- ΔH_f (0 K) (meV/atom) = 92

a b c (Å): 6.8782 5.5954 9.6866
angles (deg): 90.00 90.00 90.00
Space group Pmma (No. 51)
Symmetry-distinct sites (fractional):
Tb 0.2500 0.0000 0.1517
Pm 0.0000 0.0000 0.5000
Pm 0.2500 0.5000 0.6866
Dy 0.2500 0.0000 0.8309
Dy 0.2500 0.5000 0.3371
Sc 0.0000 0.5000 0.0000

---

# 15
## Tb2Pm6Dy3Sc (PBE)

Data for a relaxed structure of Tb2Pm6Dy3Sc.

Output
- ΔH_f (0 K) (meV/atom) = 23

a b c (Å): 6.2120 10.7588 11.7667
angles (deg): 90.00 100.11 90.00
Space group C2/m (No. 12)
Symmetry-distinct sites (fractional):
Tb 0.0000 0.1666 0.0000
Pm 0.2474 0.3348 0.2477
Pm 0.2483 0.5000 0.7518
Dy 0.0000 0.0000 0.5000
Dy 0.0000 0.3335 0.5000
Sc 0.0000 0.5000 0.0000

---

# 16
## Pm3Dy2ScTe6 (PBE)

Data for a relaxed structure of Pm3Dy2ScTe6.

Output
- raw total energy (eV/cell) = -128.75

a b c (Å): 19.1622 4.3472 8.8350
angles (deg): 90.00 104.14 90.00
Space group C2/m (No. 12)
Symmetry-distinct sites (fractional):
Pm 0.0000 0.0000 0.0000
Pm 0.1712 0.5000 0.3368
Dy 0.1669 0.5000 0.8333
Sc 0.0000 0.0000 0.5000
Te 0.9998 0.5000 0.2656
Te 0.1587 0.0000 0.5858
Te 0.1685 0.0000 0.0783

---

# 17
## PmDy2ScTe4 (PBE)

Data for a relaxed structure of PmDy2ScTe4.

Output
- raw total energy (eV/cell) = -42.86

a b c (Å): 7.5182 4.2992 7.5818
angles (deg): 90.00 108.93 90.00
Space group P2/m (No. 10)
Symmetry-distinct sites (fractional):
Pm 0.0000 0.0000 0.0000
Dy 0.5000 0.0000 0.5000
Dy 0.5000 0.5000 0.0000
Sc 0.0000 0.5000 0.5000
Te 0.2438 0.0000 0.7377
Te 0.2514 0.5000 0.2608

---

# 18
## Pm2DyScTe4 (PBE)

Data for a relaxed structure of Pm2DyScTe4.

Output
- raw total energy (eV/cell) = -43.34

a b c (Å): 7.5169 4.3121 7.6787
angles (deg): 90.00 108.82 90.00
Space group P2/m (No. 10)
Symmetry-distinct sites (fractional):
Pm 0.0000 0.0000 0.0000
Pm 0.5000 0.5000 0.0000
Dy 0.0000 0.5000 0.5000
Sc 0.5000 0.0000 0.5000
Te 0.2519 0.0000 0.7357
Te 0.2631 0.5000 0.2692

---

# 19
## PmDyThSc (PBE)

Data for a relaxed structure of PmDyThSc.

Output
- ΔH_f (0 K) (meV/atom) = 157
- relative energy among the computed polymorphs (meV/atom) = 133

a b c (Å): 7.8927 7.8927 7.8927
angles (deg): 90.00 90.00 90.00
Space group F-43m (No. 216)
Symmetry-distinct sites (fractional):
Pm 0.0000 0.0000 0.0000
Dy 0.2500 0.2500 0.2500
Th 0.2500 0.2500 0.7500
Sc 0.0000 0.0000 0.5000

---

# 20
## Pm2DyThSc4 (PBE)

Data for a relaxed structure of Pm2DyThSc4.

Output
- ΔH_f (0 K) (meV/atom) = 46

a b c (Å): 5.0141 5.0141 9.0715
angles (deg): 90.00 90.00 90.00
Space group P4/mmm (No. 123)
Symmetry-distinct sites (fractional):
Pm 0.0000 0.0000 0.0000
Pm 0.5000 0.5000 0.5000
Dy 0.0000 0.0000 0.5000
Th 0.5000 0.5000 0.0000
Sc 0.0000 0.5000 0.2473